# 1
Li2YSb2 | GGA-PBEsol | optimized geometry

Cell lengths 4.130, 4.130, 7.093 Å; angles 106.92, 106.92, 90.00 degrees
Sites, in units of the cell vectors:
Y 0.000 0.000 0.000
Li 0.250 0.750 0.500
Li 0.750 0.250 0.500
Sb 0.614 0.614 0.229
Sb 0.386 0.386 0.771

As for the mass density: 5.2 g/cm³. The value obtained for the density of states at the Fermi level is 2.147 states/eV per cell. The formation energy without anion corrections is -0.6720 eV per atom. The symmetry is I4/mmm, No. 139. As for the total moment: 0.0 μB per formula unit. For the calculated volume, the calculation gives 22.0 Å³/atom.

=====

# 2
Li5Y2Sb4 | GGA-PBEsol | optimized geometry

Cell lengths 4.436, 7.700, 8.296 Å; angles 117.19, 105.50, 90.00 degrees
Sites, in units of the cell vectors:
Sb 0.374 0.721 0.749
Sb 0.872 0.202 0.745
Sb 0.121 0.786 0.243
Sb 0.622 0.291 0.245
Li 0.825 0.494 0.649
Li 0.259 0.225 0.517
Li 0.670 0.004 0.340
Li 0.759 0.780 0.519
Li 0.177 0.507 0.355
Y 0.000 0.002 0.999
Y 0.497 0.498 0.994

As for the mass density: 4.8 g/cm³. The value obtained for the density of states at the Fermi level is 2.800 states/eV per cell. The formation energy without anion corrections is -0.8019 eV per atom. The symmetry is Cm, No. 8. As for the total moment: 0.0 μB per formula unit. For the calculated volume, the calculation gives 21.9 Å³/atom.

=====

# 3
LiYSb3 | GGA-PBEsol | optimized geometry

Cell lengths 5.706, 5.706, 5.706 Å; angles 90.00, 90.00, 90.00 degrees
Sites, in units of the cell vectors:
Sb 0.500 0.000 0.000
Sb 0.000 0.500 0.000
Sb 0.000 0.000 0.500
Y 0.000 0.000 0.000
Li 0.500 0.500 0.500

As for the mass density: 4.1 g/cm³. The value obtained for the density of states at the Fermi level is 3.107 states/eV per cell. The formation energy without anion corrections is 0.1440 eV per atom. The symmetry is Pm-3m, No. 221. As for the total moment: 0.0 μB per formula unit. For the calculated volume, the calculation gives 37.2 Å³/atom.

=====

# 4
LiZnSb3 | GGA-PBEsol | optimized geometry

Cell lengths 4.930, 4.930, 4.930 Å; angles 90.00, 90.00, 90.00 degrees
Sites, in units of the cell vectors:
Sb 0.500 0.000 0.000
Sb 0.000 0.000 0.500
Sb 0.000 0.500 0.000
Li 0.000 0.000 0.000
Zn 0.500 0.500 0.500

As for the mass density: 6.1 g/cm³. The value obtained for the density of states at the Fermi level is 1.877 states/eV per cell. The formation energy without anion corrections is 0.4176 eV per atom. The symmetry is Pm-3m, No. 221. As for the total moment: 0.0 μB per formula unit. For the calculated volume, the calculation gives 24.0 Å³/atom.